[1]
! LiCaBr2 PBE optimized geometry; values from VASP
! SG = I-42d
! Offset from the most stable computed form = 6.53 kJ/mol of atoms
! Formation energy from raw total energies = -1264.3 meV per atom
&SYSTEM
  ibrav = 0, nat = 8, ntyp = 3
/
ATOMIC_SPECIES
Br 79.90 Br.upf
Ca 40.08 Ca.upf
Li 6.94 Li.upf
CELL_PARAMETERS angstrom
6.488 0.000 0.000
0.000 6.488 0.000
3.244 3.244 6.151
ATOMIC_POSITIONS crystal
Br 0.875 0.829 0.750
Br 0.579 0.125 0.250
Br 0.375 0.421 0.750
Br 0.171 0.625 0.250
Ca 0.000 0.000 0.000
Ca 0.750 0.250 0.500
Li 0.500 0.500 0.000
Li 0.250 0.750 0.500

[2]
! Li2CaBr PBE optimized geometry; values from VASP
! SG = Cmmm
! Offset from the most stable computed form = 4.53 kJ/mol of atoms
! Formation energy from raw total energies = -581.0 meV per atom
&SYSTEM
  ibrav = 0, nat = 4, ntyp = 3
/
ATOMIC_SPECIES
Li 6.94 Li.upf
Br 79.90 Br.upf
Ca 40.08 Ca.upf
CELL_PARAMETERS angstrom
3.758 -0.020 0.000
-1.707 3.347 0.000
0.000 0.000 9.366
ATOMIC_POSITIONS crystal
Li 0.000 0.000 0.069
Li 0.000 0.000 0.431
Br 0.500 0.500 0.250
Ca 0.500 0.500 0.750

[3]
! Li2CaBr PBE optimized geometry; values from VASP
! SG = R-3m
! Offset from the most stable computed form = 0.00 kJ/mol of atoms
! Formation energy from raw total energies = -627.9 meV per atom
&SYSTEM
  ibrav = 0, nat = 4, ntyp = 3
/
ATOMIC_SPECIES
Li 6.94 Li.upf
Br 79.90 Br.upf
Ca 40.08 Ca.upf
CELL_PARAMETERS angstrom
-3.821 1.809 -8.518
-6.888 1.788 -6.308
-4.782 4.915 -6.588
ATOMIC_POSITIONS crystal
Li 0.974 0.974 0.974
Li 0.526 0.526 0.526
Br 0.250 0.250 0.250
Ca 0.750 0.750 0.750

[4]
! LiCa4Br PBE optimized geometry; values from VASP
! SG = F-43m
! Formation energy from raw total energies = 98.4 meV per atom
&SYSTEM
  ibrav = 0, nat = 6, ntyp = 3
/
ATOMIC_SPECIES
Br 79.90 Br.upf
Li 6.94 Li.upf
Ca 40.08 Ca.upf
CELL_PARAMETERS angstrom
0.000 5.046 5.046
5.046 0.000 5.046
5.046 5.046 0.000
ATOMIC_POSITIONS crystal
Br 0.000 0.000 0.000
Li 0.750 0.750 0.750
Ca 0.376 0.376 0.376
Ca 0.376 0.872 0.376
Ca 0.872 0.376 0.376
Ca 0.376 0.376 0.872

[5]
! LiCaBr2 PBE optimized geometry; values from VASP
! SG = Pmm2
! Offset from the most stable computed form = 7.50 kJ/mol of atoms
! Formation energy from raw total energies = -1254.2 meV per atom
&SYSTEM
  ibrav = 0, nat = 4, ntyp = 3
/
ATOMIC_SPECIES
Ca 40.08 Ca.upf
Br 79.90 Br.upf
Li 6.94 Li.upf
CELL_PARAMETERS angstrom
4.186 0.000 0.000
0.000 4.205 0.000
0.000 0.000 6.044
ATOMIC_POSITIONS crystal
Ca 0.000 0.000 0.378
Br 0.000 0.000 0.878
Br 0.500 0.500 0.386
Li 0.500 0.500 0.858

[6]
! Li2CaBr PBE optimized geometry; values from VASP
! SG = Immm
! Offset from the most stable computed form = 10.57 kJ/mol of atoms
! Formation energy from raw total energies = -518.4 meV per atom
&SYSTEM
  ibrav = 0, nat = 4, ntyp = 3
/
ATOMIC_SPECIES
Li 6.94 Li.upf
Br 79.90 Br.upf
Ca 40.08 Ca.upf
CELL_PARAMETERS angstrom
-4.490 2.447 4.222
-4.160 -0.980 5.069
2.034 1.316 4.529
ATOMIC_POSITIONS crystal
Li 0.469 0.469 0.531
Li 0.031 0.031 0.969
Br 0.750 0.750 0.750
Ca 0.250 0.250 0.250

[7]
! Li3Ca2Br7 PBE optimized geometry; values from VASP
! SG = Cmc2_1
! Formation energy from raw total energies = -1745.4 meV per atom
&SYSTEM
  ibrav = 0, nat = 24, ntyp = 3
/
ATOMIC_SPECIES
Ca 40.08 Ca.upf
Br 79.90 Br.upf
Li 6.94 Li.upf
CELL_PARAMETERS angstrom
7.266 0.000 0.000
0.000 7.008 -1.982
0.000 0.010 13.418
ATOMIC_POSITIONS crystal
Ca 0.756 0.150 0.789
Ca 0.256 0.850 0.211
Ca 0.256 0.640 0.789
Ca 0.756 0.360 0.211
Br 0.415 0.021 0.856
Br 0.096 0.545 0.285
Br 0.596 0.455 0.715
Br 0.874 0.391 0.000
Br 0.650 0.336 0.419
Br 0.150 0.664 0.581
Br 0.150 0.083 0.419
Br 0.915 0.979 0.144
Br 0.096 0.259 0.715
Br 0.650 0.917 0.581
Br 0.374 0.609 0.000
Br 0.415 0.165 0.144
Br 0.596 0.741 0.285
Br 0.915 0.835 0.856
Li 0.285 0.996 0.583
Li 0.785 0.004 0.417
Li 0.285 0.413 0.417
Li 0.785 0.587 0.583
Li 0.741 0.729 0.000
Li 0.241 0.271 0.000

[8]
! Li2CaBr PBE optimized geometry; values from VASP
! SG = F-43m
! Offset from the most stable computed form = 32.35 kJ/mol of atoms
! Formation energy from raw total energies = -292.7 meV per atom
&SYSTEM
  ibrav = 0, nat = 4, ntyp = 3
/
ATOMIC_SPECIES
Li 6.94 Li.upf
Ca 40.08 Ca.upf
Br 79.90 Br.upf
CELL_PARAMETERS angstrom
5.381 0.000 0.000
2.690 4.660 0.000
2.690 1.553 4.393
ATOMIC_POSITIONS crystal
Li 0.250 0.250 0.250
Li 0.000 0.000 0.000
Ca 0.750 0.750 0.750
Br 0.500 0.500 0.500

[9]
! Li2CaBr PBE optimized geometry; values from VASP
! SG = Cm
! Offset from the most stable computed form = 8.45 kJ/mol of atoms
! Formation energy from raw total energies = -540.4 meV per atom
&SYSTEM
  ibrav = 0, nat = 4, ntyp = 3
/
ATOMIC_SPECIES
Ca 40.08 Ca.upf
Li 6.94 Li.upf
Br 79.90 Br.upf
CELL_PARAMETERS angstrom
5.920 0.000 0.006
4.815 3.444 0.006
2.704 0.868 5.404
ATOMIC_POSITIONS crystal
Ca 0.201 0.201 0.353
Li 0.017 0.017 0.000
Li 0.812 0.812 0.768
Br 0.470 0.470 0.379

[10]
! Li2CaBr PBE optimized geometry; values from VASP
! SG = I-4m2
! Offset from the most stable computed form = 22.53 kJ/mol of atoms
! Formation energy from raw total energies = -394.5 meV per atom
&SYSTEM
  ibrav = 0, nat = 4, ntyp = 3
/
ATOMIC_SPECIES
Ca 40.08 Ca.upf
Li 6.94 Li.upf
Br 79.90 Br.upf
CELL_PARAMETERS angstrom
-0.600 -1.662 5.961
-5.427 -2.277 2.006
3.967 -0.931 -4.696
ATOMIC_POSITIONS crystal
Ca 0.750 0.250 0.500
Li 0.000 0.000 0.000
Li 0.250 0.750 0.500
Br 0.500 0.500 0.000

[11]
! Li4CaBr PBE optimized geometry; values from VASP
! SG = F-43m
! Formation energy from raw total energies = -142.0 meV per atom
&SYSTEM
  ibrav = 0, nat = 6, ntyp = 3
/
ATOMIC_SPECIES
Li 6.94 Li.upf
Ca 40.08 Ca.upf
Br 79.90 Br.upf
CELL_PARAMETERS angstrom
0.000 4.257 4.257
4.257 0.000 4.257
4.257 4.257 0.000
ATOMIC_POSITIONS crystal
Li 0.375 0.375 0.875
Li 0.875 0.375 0.375
Li 0.375 0.875 0.375
Li 0.375 0.375 0.375
Ca 0.000 0.000 0.000
Br 0.750 0.750 0.750

[12]
! LiCaBr2 PBE optimized geometry; values from VASP
! SG = P4/mmm
! Offset from the most stable computed form = 16.42 kJ/mol of atoms
! Formation energy from raw total energies = -1161.7 meV per atom
&SYSTEM
  ibrav = 0, nat = 4, ntyp = 3
/
ATOMIC_SPECIES
Br 79.90 Br.upf
Li 6.94 Li.upf
Ca 40.08 Ca.upf
CELL_PARAMETERS angstrom
5.094 0.000 0.000
0.000 5.094 0.000
0.000 0.000 3.742
ATOMIC_POSITIONS crystal
Br 0.000 0.000 0.000
Br 0.500 0.500 0.000
Li 0.000 0.500 0.500
Ca 0.500 0.000 0.500

Please write out number 1 again, unchanged.
! LiCaBr2 PBE optimized geometry; values from VASP
! SG = I-42d
! Offset from the most stable computed form = 6.53 kJ/mol of atoms
! Formation energy from raw total energies = -1264.3 meV per atom
&SYSTEM
  ibrav = 0, nat = 8, ntyp = 3
/
ATOMIC_SPECIES
Br 79.90 Br.upf
Ca 40.08 Ca.upf
Li 6.94 Li.upf
CELL_PARAMETERS angstrom
6.488 0.000 0.000
0.000 6.488 0.000
3.244 3.244 6.151
ATOMIC_POSITIONS crystal
Br 0.875 0.829 0.750
Br 0.579 0.125 0.250
Br 0.375 0.421 0.750
Br 0.171 0.625 0.250
Ca 0.000 0.000 0.000
Ca 0.750 0.250 0.500
Li 0.500 0.500 0.000
Li 0.250 0.750 0.500

Please write out number 4 again, unchanged.
! LiCa4Br PBE optimized geometry; values from VASP
! SG = F-43m
! Formation energy from raw total energies = 98.4 meV per atom
&SYSTEM
  ibrav = 0, nat = 6, ntyp = 3
/
ATOMIC_SPECIES
Br 79.90 Br.upf
Li 6.94 Li.upf
Ca 40.08 Ca.upf
CELL_PARAMETERS angstrom
0.000 5.046 5.046
5.046 0.000 5.046
5.046 5.046 0.000
ATOMIC_POSITIONS crystal
Br 0.000 0.000 0.000
Li 0.750 0.750 0.750
Ca 0.376 0.376 0.376
Ca 0.376 0.872 0.376
Ca 0.872 0.376 0.376
Ca 0.376 0.376 0.872

Question: Look up the formation energy from raw total energies of the fifth one.
Answer: -1254.2 meV per atom

Question: Which formula does entry 6 have?
Answer: Li2CaBr